Record 1
Below is a relaxed TaCoW crystal, with properties calculated at the GGA-PBE level.

```
TaCoW
1.0
4.4605 0.0000 0.0000
-2.2303 3.8629 0.0000
0.0000 0.0000 2.6718
Ta Co W
1 1 1
direct
0.0000 0.0000 0.0000
0.6667 0.3333 0.6779
0.3333 0.6667 0.3770
```

Excess energy over the best structure of this formula in the dataset = 320.0 meV/atom
Energy of formation = 59.7 kJ/mol of formula units


Record 2
Below is a relaxed Pr3TlAu4 crystal, with properties calculated at the GGA-PBE level.

```
Pr3TlAu4
1.0
-1.9846 3.6967 7.5531
1.9846 -3.6967 7.5531
1.9846 3.6967 -7.5531
Pr Tl Au
3 1 4
direct
0.0000 0.0000 0.0000
0.3126 0.8126 0.5000
0.6874 0.1874 0.5000
0.5000 0.5000 0.0000
0.0603 0.3658 0.6945
0.3287 0.6342 0.6945
0.6713 0.3658 0.3055
0.9397 0.6342 0.3055
```

Energy of formation = -452.4 kJ/mol of formula units


Record 3
Below is a relaxed RbAgMo3 crystal, with properties calculated at the GGA-PBE level.

```
RbAgMo3
1.0
5.3123 0.0000 0.0000
0.0000 5.3123 0.0000
0.0000 0.0000 5.3123
Rb Ag Mo
1 1 3
direct
0.0000 0.0000 0.0000
0.5000 0.5000 0.5000
0.0000 0.5000 0.5000
0.5000 0.0000 0.5000
0.5000 0.5000 0.0000
```

Excess energy over the best structure of this formula in the dataset = 0.0 meV/atom
Energy of formation = 1217.5 kJ/mol of formula units


Record 4
Below is a relaxed AlSnBrO2 crystal, with properties calculated at the GGA-PBE level.

```
AlSnBrO2
1.0
7.2460 0.0000 0.0000
0.0000 3.7803 0.0000
-1.6179 0.0000 7.7949
Al Sn Br O
2 2 2 4
direct
0.1441 0.2500 0.0707
0.8559 0.7500 0.9293
0.3534 0.7500 0.8267
0.6466 0.2500 0.1733
0.2321 0.2500 0.3688
0.7679 0.7500 0.6312
0.1147 0.7500 0.0063
0.3615 0.2500 0.9850
0.6385 0.7500 0.0150
0.8853 0.2500 0.9937
```

Formation energy without anion corrections = -1.838 eV per atom


Record 5
Below is a relaxed KLi2InCu crystal, with properties calculated at the GGA-PBE level.

```
KLi2InCu
1.0
5.1669 0.0000 0.0000
0.0000 5.1669 0.0000
0.0000 0.0000 4.9885
K Li In Cu
1 2 1 1
direct
0.0000 0.0000 0.0000
0.0000 0.5000 0.5000
0.5000 0.0000 0.5000
0.5000 0.5000 0.0000
0.5000 0.5000 0.5000
```

Energy of formation = 16.6 kJ/mol of formula units


Record 6
Below is a relaxed Ac6Si2GeTe3 crystal, with properties calculated at the GGA-PBE level.

```
Ac6Si2GeTe3
1.0
10.2876 -2.3260 0.0000
10.2876 2.3260 0.0000
-2.3964 0.0000 9.1643
Ac Si Ge Te
6 2 1 3
direct
0.0065 0.0065 0.2362
0.3270 0.3270 0.4323
0.3388 0.3388 0.9007
0.6612 0.6612 0.0993
0.6730 0.6730 0.5677
0.9935 0.9935 0.7638
0.1668 0.1668 0.3334
0.8332 0.8332 0.6666
0.5000 0.5000 0.0000
0.1665 0.1665 0.8331
0.5000 0.5000 0.5000
0.8335 0.8335 0.1669
```

Formation energy without anion corrections = -1.132 eV per atom


Record 7
Below is a relaxed Sc2OsRh4 crystal, with properties calculated at the GGA-PBE level.

```
Sc2OsRh4
1.0
-2.3461 2.3461 6.4818
2.3461 -2.3461 6.4818
2.3461 2.3461 -6.4818
Sc Os Rh
2 1 4
direct
0.1305 0.1305 0.0000
0.8695 0.8695 0.0000
0.5000 0.5000 0.0000
0.0000 0.5000 0.5000
0.3062 0.3062 0.0000
0.5000 0.0000 0.5000
0.6938 0.6938 0.0000
```

Energy of formation = 293.7 kJ/mol of formula units


Record 8
Below is a relaxed TbTa2S5 crystal, with properties calculated at the GGA-PBE level.

```
TbTa2S5
1.0
2.8184 -6.0462 0.0000
2.8184 6.0462 0.0000
-0.0117 0.0000 6.6046
Tb Ta S
1 2 5
direct
0.0000 0.0000 0.0000
0.2930 0.7070 0.0000
0.7070 0.2930 0.0000
0.0115 0.6635 0.7571
0.3365 0.9885 0.2429
0.5000 0.5000 0.0000
0.6635 0.0115 0.7571
0.9885 0.3365 0.2429
```

Formation energy without anion corrections = -1.099 eV per atom


Record 9
Below is a relaxed Er3AlIr3 crystal, with properties calculated at the GGA-PBE level.

```
Er3AlIr3
1.0
2.0447 -5.1035 0.0000
2.0447 5.1035 0.0000
0.0000 0.0000 13.6788
Er Al Ir
6 2 6
direct
0.0164 0.9836 0.7500
0.2971 0.7029 0.6063
0.2971 0.7029 0.8937
0.7029 0.2971 0.1063
0.7029 0.2971 0.3937
0.9836 0.0164 0.2500
0.0000 0.0000 0.0000
0.0000 0.0000 0.5000
0.2655 0.7345 0.2500
0.4139 0.5861 0.0882
0.4139 0.5861 0.4118
0.5861 0.4139 0.5882
0.5861 0.4139 0.9118
0.7345 0.2655 0.7500
```

Energy of formation = -628.2 kJ/mol of formula units


Record 10
Below is a relaxed Ba4HIrCl2 crystal, with properties calculated at the GGA-PBE level.

```
Ba4HIrCl2
1.0
7.4418 0.0000 0.0000
0.0000 4.4395 0.0000
-2.4734 0.0000 8.0124
Ba H Ir Cl
4 1 1 2
direct
0.2420 0.0000 0.2169
0.2556 0.5000 0.7837
0.7444 0.5000 0.2163
0.7580 0.0000 0.7831
0.5000 0.0000 0.0000
0.0000 0.5000 0.0000
0.0000 0.0000 0.5000
0.5000 0.5000 0.5000
```

Uncorrected energy = -32.0 eV for the cell shown


Record 11
Below is a relaxed Si2SbPd8 crystal, with properties calculated at the GGA-PBE level.

```
Si2SbPd8
1.0
7.4445 -1.9831 0.0000
7.4445 1.9831 0.0000
-2.1874 0.0000 5.8333
Si Sb Pd
2 1 8
direct
0.1881 0.1881 0.1889
0.8119 0.8119 0.8111
0.5000 0.5000 0.5000
0.0368 0.0368 0.2532
0.1987 0.1987 0.8117
0.3228 0.3228 0.5434
0.4046 0.4046 0.0265
0.5954 0.5954 0.9735
0.6772 0.6772 0.4566
0.8013 0.8013 0.1883
0.9632 0.9632 0.7468
```

Formation energy without anion corrections = -0.551 eV per atom


Record 12
Below is a relaxed B2H5Pd12 crystal, with properties calculated at the GGA-PBE level.

```
B2H5Pd12
1.0
5.4124 -2.8245 0.0000
5.4124 2.8245 0.0000
-3.5058 0.0000 7.1048
B H Pd
2 5 12
direct
0.2476 0.7524 0.0000
0.7524 0.2476 0.0000
0.1367 0.1367 0.7043
0.2368 0.2368 0.4701
0.5000 0.5000 0.5000
0.7632 0.7632 0.5299
0.8633 0.8633 0.2957
0.1248 0.6238 0.4967
0.1359 0.6317 0.1502
0.1457 0.1457 0.1846
0.3565 0.3565 0.8133
0.3683 0.8641 0.8498
0.3762 0.8752 0.5033
0.6238 0.1248 0.4967
0.6317 0.1359 0.1502
0.6435 0.6435 0.1867
0.8543 0.8543 0.8154
0.8641 0.3683 0.8498
0.8752 0.3762 0.5033
```

Excess energy over the best structure of this formula in the dataset = 0.0 meV/atom